The following is a DFT calculation (GGA-PBE) of a relaxed structure of CsMnC3N3.

Summary:
- Space group: Fm-3m
- Size of the total moment: 2.000 μB/cell
- Formation energy (no corrections): -0.1557 eV/atom
- Uncorrected energy: -7.9895 eV/atom
- Crystal system: cubic

Cell: 7.1483 7.1483 7.1483 Å, 60.00 60.00 60.00°
Element x y z (fractional)
Cs (0.2500, 0.2500, 0.2500)
N (0.6925, 0.3075, 0.3075)
Mn (0.0000, 0.0000, 0.0000)
N (0.3075, 0.3075, 0.6925)
C (0.1901, 0.8099, 0.1901)
C (0.1901, 0.8099, 0.8099)
C (0.8099, 0.1901, 0.1901)
N (0.3075, 0.6925, 0.3075)
Cs (0.7500, 0.7500, 0.7500)
N (0.6925, 0.3075, 0.6925)
Mn (0.5000, 0.5000, 0.5000)
C (0.1901, 0.1901, 0.8099)
N (0.3075, 0.6925, 0.6925)
C (0.8099, 0.8099, 0.1901)
N (0.6925, 0.6925, 0.3075)
C (0.8099, 0.1901, 0.8099)